No. 1
Entry from Alexandria via LeMat-Bulk: a relaxed Mg5Si9 crystal (PBE).

abc: 7.006 7.090 12.594
angles: 103.36 82.40 118.00
Sites, in units of the cell vectors:
1 Mg 0.018 0.530 0.260
2 Mg 0.015 0.177 0.629
3 Mg 0.400 0.862 0.466
4 Mg 0.589 0.291 0.628
5 Mg 0.157 0.348 0.413
6 Mg 0.872 0.664 0.528
7 Mg 0.933 0.376 0.893
8 Mg 0.799 0.661 0.101
9 Mg 0.272 0.880 0.883
10 Mg 0.617 0.109 0.067
11 Si 0.728 0.637 0.845
12 Si 0.329 0.466 0.094
13 Si 0.209 0.924 0.676
14 Si 0.769 0.956 0.289
15 Si 0.575 0.923 0.686
16 Si 0.240 0.005 0.217
17 Si 0.394 0.583 0.771
18 Si 0.574 0.331 0.267
19 Si 0.206 0.198 0.831
20 Si 0.027 0.924 0.384
21 Si 0.035 0.130 0.138
22 Si 0.912 0.998 0.953
23 Si 0.984 0.565 0.716
24 Si 0.460 0.601 0.274
25 Si 0.220 0.717 0.064
26 Si 0.519 0.343 0.945
27 Si 0.704 0.242 0.405
28 Si 0.444 0.560 0.576

Results
The energy relative to the elements, uncorrected comes out at 0.108 eV per atom. The value obtained for the mass density is 2.31 g/cm3. The value obtained for the excess energy over the best structure of this formula in the dataset is 0.15 eV/f.u. For the total magnetization, the calculation gives 0.00 μB per formula unit. As for the symmetry: P1, No. 1. For the total energy, the calculation gives -3.95 eV per atom.

No. 2
Entry from Alexandria via LeMat-Bulk: a relaxed Mg5Si9 crystal (PBE).

abc: 5.725 7.582 13.227
angles: 101.53 93.38 110.60
Sites, in units of the cell vectors:
1 Mg 0.152 0.765 0.739
2 Mg 0.545 0.382 0.453
3 Mg 0.388 0.989 0.542
4 Mg 0.541 0.673 0.278
5 Mg 0.709 0.790 0.612
6 Mg 0.938 0.052 0.422
7 Mg 0.595 0.029 0.015
8 Mg 0.525 0.634 0.849
9 Mg 0.136 0.334 0.062
10 Mg 0.078 0.710 0.984
11 Si 0.927 0.890 0.166
12 Si 0.363 0.169 0.856
13 Si 0.135 0.414 0.336
14 Si 0.656 0.450 0.676
15 Si 0.420 0.010 0.335
16 Si 0.674 0.037 0.787
17 Si 0.046 0.681 0.265
18 Si 0.965 0.381 0.793
19 Si 0.692 0.381 0.160
20 Si 0.203 0.572 0.522
21 Si 0.978 0.987 0.909
22 Si 0.314 0.208 0.227
23 Si 0.774 0.139 0.241
24 Si 0.233 0.213 0.688
25 Si 0.656 0.425 0.986
26 Si 0.507 0.677 0.068
27 Si 0.929 0.311 0.590
28 Si 0.921 0.700 0.437

Results
The energy relative to the elements, uncorrected comes out at 0.153 eV per atom. The value obtained for the mass density is 2.38 g/cm3. The value obtained for the excess energy over the best structure of this formula in the dataset is 0.77 eV/f.u. For the total magnetization, the calculation gives 0.00 μB per formula unit. As for the symmetry: P1, No. 1. For the total energy, the calculation gives -3.90 eV per atom.

No. 3
Entry from Alexandria via LeMat-Bulk: a relaxed MgSi2 crystal (PBE).

abc: 3.766 5.786 11.192
angles: 94.50 99.73 109.06
Sites, in units of the cell vectors:
1 Mg 0.602 0.712 0.825
2 Mg 0.013 0.201 0.158
3 Mg 0.622 0.168 0.412
4 Mg 0.111 0.926 0.629
5 Si 0.228 0.758 0.034
6 Si 0.321 0.073 0.899
7 Si 0.830 0.319 0.672
8 Si 0.284 0.530 0.376
9 Si 0.956 0.345 0.895
10 Si 0.733 0.655 0.148
11 Si 0.912 0.798 0.362
12 Si 0.387 0.515 0.591

Results
The energy relative to the elements, uncorrected comes out at 0.115 eV per atom. The value obtained for the mass density is 2.38 g/cm3. The value obtained for the excess energy over the best structure of this formula in the dataset is 0.27 eV/f.u. For the total magnetization, the calculation gives 0.00 μB per formula unit. As for the symmetry: P1, No. 1. For the total energy, the calculation gives -4.03 eV per atom.